Arrangement one

This record from Alexandria describes a geometry-optimized ZrCr2Mo2 structure. The functional is PBE-GGA.

## Properties
As for the space-group type: No. 139. For the total magnetization, the calculation gives 0.00 μB per cell.

Unit cell a=5.6514 b=5.6514 c=5.6514 alpha=136.80 beta=136.80 gamma=62.75
With the nearest neighbours (Å) after each atom.
Element x y z (fractional)
Zr  0.0000  0.0000  0.0000  8 Cr 3.15, 8 Mo 3.19
Cr  0.3844  0.3844  0.0000  1 Cr 2.23, 4 Mo 2.45
Cr  0.6156  0.6156  0.0000  1 Cr 2.23, 4 Mo 2.45
Mo  0.2500  0.7500  0.5000  4 Cr 2.45
Mo  0.7500  0.2500  0.5000  4 Cr 2.45


Arrangement two

This record from Alexandria describes a geometry-optimized ZrCr2Mo2 structure. The functional is PBE-GGA.

## Properties
As for the space-group type: No. 139. For the total magnetization, the calculation gives 0.00 μB per cell.

Unit cell a=6.0114 b=6.0114 c=6.0114 alpha=141.07 beta=141.07 gamma=56.24
With the nearest neighbours (Å) after each atom.
Element x y z (fractional)
Zr  0.0000  0.0000  0.0000  8 Mo 3.12, 8 Cr 3.32
Cr  0.2500  0.7500  0.5000  4 Mo 2.42
Cr  0.7500  0.2500  0.5000  4 Mo 2.42
Mo  0.3777  0.3777  0.0000  4 Cr 2.42, 1 Mo 2.59
Mo  0.6223  0.6223  0.0000  4 Cr 2.42, 1 Mo 2.59


Most stable: arrangement one (next structure +144 meV per atom)


Arrangement one

This record from Alexandria describes a geometry-optimized Cr3N2 structure. The functional is PBE-GGA.

## Properties
As for the space-group type: No. 60. For the total magnetization, the calculation gives 4.69 μB per cell.

Unit cell a=7.4080 b=4.7750 c=5.2056 alpha=90.00 beta=90.00 gamma=90.00
With the nearest neighbours (Å) after each atom.
Element x y z (fractional)
Cr  0.0000  0.0698  0.2500  4 N 1.94-2.03
Cr  0.0000  0.9302  0.7500  4 N 1.94-2.03
Cr  0.1637  0.3896  0.6048  4 N 1.93-2.14
Cr  0.1637  0.6104  0.1048  4 N 1.93-2.14
Cr  0.3363  0.1104  0.1048  4 N 1.93-2.14
Cr  0.3363  0.8896  0.6048  4 N 1.93-2.14
Cr  0.5000  0.4302  0.7500  4 N 1.94-2.03
Cr  0.5000  0.5698  0.2500  4 N 1.94-2.03
Cr  0.6637  0.1104  0.3952  4 N 1.93-2.14
Cr  0.6637  0.8896  0.8952  4 N 1.93-2.14
Cr  0.8363  0.3896  0.8952  4 N 1.93-2.14
Cr  0.8363  0.6104  0.3952  4 N 1.93-2.14
N  0.1078  0.2506  0.9537  6 Cr 1.93-2.14
N  0.1078  0.7494  0.4537  6 Cr 1.93-2.14
N  0.3922  0.2494  0.4537  6 Cr 1.93-2.14
N  0.3922  0.7506  0.9537  6 Cr 1.93-2.14
N  0.6078  0.2494  0.0463  6 Cr 1.93-2.14
N  0.6078  0.7506  0.5463  6 Cr 1.93-2.14
N  0.8922  0.2506  0.5463  6 Cr 1.93-2.14
N  0.8922  0.7494  0.0463  6 Cr 1.93-2.14


Arrangement two

This record from Alexandria describes a geometry-optimized Cr3N2 structure. The functional is PBE-GGA.

## Properties
As for the space-group type: No. 194. For the total magnetization, the calculation gives 3.16 μB per cell.

Unit cell a=3.0613 b=3.0613 c=12.3209 alpha=90.00 beta=90.00 gamma=120.00
With the nearest neighbours (Å) after each atom.
Element x y z (fractional)
Cr  0.0000  0.0000  0.2500  3 N 1.77
Cr  0.0000  0.0000  0.7500  3 N 1.77
Cr  0.3333  0.6667  0.0768  3 N 2.00
Cr  0.3333  0.6667  0.4232  3 N 2.00
Cr  0.6667  0.3333  0.5768  3 N 2.00
Cr  0.6667  0.3333  0.9232  3 N 2.00
N  0.0000  0.0000  0.0000  6 Cr 2.00
N  0.0000  0.0000  0.5000  6 Cr 2.00
N  0.3333  0.6667  0.7500  3 Cr 1.77
N  0.6667  0.3333  0.2500  3 Cr 1.77


Arrangement three

This record from Alexandria describes a geometry-optimized Cr3N2 structure. The functional is PBE-GGA.

## Properties
As for the space-group type: No. 189. For the total magnetization, the calculation gives 2.68 μB per cell.

Unit cell a=4.5794 b=4.5794 c=2.6371 alpha=90.00 beta=90.00 gamma=120.00
With the nearest neighbours (Å) after each atom.
Element x y z (fractional)
Cr  0.0000  0.6561  0.0000  4 N 2.00
Cr  0.3439  0.3439  0.0000  4 N 2.00
Cr  0.6561  0.0000  0.0000  4 N 2.00
N  0.3333  0.6667  0.5000  6 Cr 2.00
N  0.6667  0.3333  0.5000  6 Cr 2.00


Most stable: arrangement one (next structure +80 meV per atom)


Arrangement one

This record from Alexandria describes a geometry-optimized Cr3N2 structure. The functional is PBE-GGA.

## Properties
As for the space-group type: No. 167. For the total magnetization, the calculation gives 0.00 μB per cell.

Unit cell a=5.4840 b=5.4840 c=5.4840 alpha=50.96 beta=50.96 gamma=50.96
With the nearest neighbours (Å) after each atom.
Element x y z (fractional)
Cr  0.0744  0.7500  0.4256  4 N 1.93-2.01
Cr  0.2500  0.5744  0.9256  4 N 1.93-2.01
Cr  0.4256  0.0744  0.7500  4 N 1.93-2.01
Cr  0.5744  0.9256  0.2500  4 N 1.93-2.01
Cr  0.7500  0.4256  0.0744  4 N 1.93-2.01
Cr  0.9256  0.2500  0.5744  4 N 1.93-2.01
N  0.1590  0.1590  0.1590  6 Cr 1.93-2.01
N  0.3409  0.3409  0.3409  6 Cr 1.93-2.01
N  0.6590  0.6590  0.6590  6 Cr 1.93-2.01
N  0.8410  0.8410  0.8410  6 Cr 1.93-2.01


Arrangement two

This record from Alexandria describes a geometry-optimized Cr3N2 structure. The functional is PBE-GGA.

## Properties
As for the space-group type: No. 150. For the total magnetization, the calculation gives 6.20 μB per cell.

Unit cell a=5.2264 b=5.2264 c=2.8465 alpha=90.00 beta=90.00 gamma=120.00
With the nearest neighbours (Å) after each atom.
Element x y z (fractional)
Cr  0.0000  0.6858  0.0000  2 N 1.79
Cr  0.3142  0.3142  0.0000  2 N 1.79
Cr  0.6858  0.0000  0.0000  2 N 1.79
N  0.3333  0.6667  0.0011  3 Cr 1.79
N  0.6667  0.3333  0.9989  3 Cr 1.79


Most stable: arrangement one (next structure +807 meV per atom)


Arrangement one

This record from Alexandria describes a geometry-optimized NaCrN structure. The functional is PBE-GGA.

## Properties
As for the space-group type: No. 129. For the total magnetization, the calculation gives 3.86 μB per cell.

Unit cell a=3.6809 b=3.6809 c=5.5090 alpha=90.00 beta=90.00 gamma=90.00
With the nearest neighbours (Å) after each atom.
Element x y z (fractional)
Na  0.2500  0.7500  0.0000  4 Na 2.60, 4 N 2.65, 2 Cr 2.75
Na  0.7500  0.2500  0.0000  4 Na 2.60, 4 N 2.65, 2 Cr 2.75
Cr  0.2500  0.7500  0.5000  4 N 2.03
Cr  0.7500  0.2500  0.5000  4 N 2.03
N  0.2500  0.2500  0.3462  4 Cr 2.03
N  0.7500  0.7500  0.6538  4 Cr 2.03


Arrangement two

This record from Alexandria describes a geometry-optimized NaCrN structure. The functional is PBE-GGA.

## Properties
As for the space-group type: No. 129. For the total magnetization, the calculation gives 0.00 μB per cell.

Unit cell a=3.2224 b=3.2224 c=8.8707 alpha=90.00 beta=90.00 gamma=90.00
With the nearest neighbours (Å) after each atom.
Element x y z (fractional)
Na  0.2500  0.2500  0.2012  4 N 2.68
Na  0.7500  0.7500  0.7988  4 N 2.68
Cr  0.2500  0.7500  0.5000  4 N 2.03, 4 Cr 2.28
Cr  0.7500  0.2500  0.5000  4 N 2.03, 4 Cr 2.28
N  0.2500  0.2500  0.6401  4 Cr 2.03
N  0.7500  0.7500  0.3599  4 Cr 2.03


Most stable: arrangement two (next structure +168 meV per atom)


Arrangement one

This record from Alexandria describes a geometry-optimized NaCrN2 structure. The functional is PBE-GGA.

## Properties
As for the space-group type: No. 225. For the total magnetization, the calculation gives 1.57 μB per cell.

Unit cell a=3.7291 b=3.7291 c=3.7291 alpha=60.00 beta=60.00 gamma=60.00
With the nearest neighbours (Å) after each atom.
Element x y z (fractional)
Na  0.0000  0.0000  0.0000  8 N 2.28
Cr  0.5000  0.5000  0.5000  8 N 2.28
N  0.2500  0.2500  0.2500  4 Cr 2.28, 4 Na 2.28
N  0.7500  0.7500  0.7500  4 Cr 2.28, 4 Na 2.28


Arrangement two

This record from Alexandria describes a geometry-optimized NaCrN2 structure. The functional is PBE-GGA.

## Properties
As for the space-group type: No. 166. For the total magnetization, the calculation gives 1.01 μB per cell.

Unit cell a=6.7278 b=6.7278 c=6.7278 alpha=24.77 beta=24.77 gamma=24.77
With the nearest neighbours (Å) after each atom.
Element x y z (fractional)
Na  0.0000  0.0000  0.0000  2 N 2.20
Cr  0.5000  0.5000  0.5000  6 N 1.97
N  0.1127  0.1127  0.1127  3 Cr 1.97, 1 Na 2.20
N  0.8873  0.8873  0.8873  3 Cr 1.97, 1 Na 2.20


Arrangement three

This record from Alexandria describes a geometry-optimized NaCrN2 structure. The functional is PBE-GGA.

## Properties
As for the space-group type: No. 33. For the total magnetization, the calculation gives 0.00 μB per cell.

Unit cell a=5.6213 b=7.1213 c=5.4937 alpha=90.00 beta=90.00 gamma=90.00
With the nearest neighbours (Å) after each atom.
Element x y z (fractional)
Na  0.0884  0.1236  0.0000  4 N 2.47-2.59
Na  0.4116  0.6236  0.5000  4 N 2.47-2.59
Na  0.5884  0.3764  0.0000  4 N 2.47-2.59
Na  0.9116  0.8764  0.5000  4 N 2.47-2.59
Cr  0.0635  0.6279  0.0144  4 N 1.75-1.80
Cr  0.4365  0.1279  0.5144  4 N 1.75-1.80
Cr  0.5635  0.8721  0.0144  4 N 1.75-1.80
Cr  0.9365  0.3721  0.5144  4 N 1.75-1.80
N  0.0185  0.5555  0.3187  2 Cr 1.75-1.77
N  0.1274  0.1798  0.4637  2 Cr 1.76-1.80
N  0.3726  0.6798  0.9637  2 Cr 1.76-1.80
N  0.4815  0.0555  0.8187  2 Cr 1.75-1.77
N  0.5185  0.9445  0.3187  2 Cr 1.75-1.77
N  0.6274  0.3202  0.4637  2 Cr 1.76-1.80
N  0.8726  0.8202  0.9637  2 Cr 1.76-1.80
N  0.9815  0.4445  0.8187  2 Cr 1.75-1.77


Arrangement four

This record from Alexandria describes a geometry-optimized NaCrN2 structure. The functional is PBE-GGA.

## Properties
As for the space-group type: No. 122. For the total magnetization, the calculation gives 2.00 μB per cell.

Unit cell a=5.5000 b=5.5000 c=5.5000 alpha=124.54 beta=124.54 gamma=82.30
With the nearest neighbours (Å) after each atom.
Element x y z (fractional)
Na  0.0000  0.0000  0.0000  4 N 2.50
Na  0.7500  0.2500  0.5000  4 N 2.50
Cr  0.2500  0.7500  0.5000  4 N 1.78
Cr  0.5000  0.5000  0.0000  4 N 1.78
N  0.2421  0.6250  0.1171  2 Cr 1.78
N  0.3750  0.4921  0.6171  2 Cr 1.78
N  0.5079  0.1250  0.8829  2 Cr 1.78
N  0.8750  0.7579  0.3829  2 Cr 1.78


Most stable: arrangement three (next structure +16 meV per atom)